[1]
# PBE RuRhW, relaxed
# * ΔE_f: 161 meV per atom
# * excess energy over the best structure of this formula in the dataset: 242 meV/atom
data_RuRhW
_cell_length_a 4.557
_cell_length_b 4.589
_cell_length_c 8.714
_cell_angle_alpha 90.00
_cell_angle_beta 90.00
_cell_angle_gamma 90.00
_space_group_name_H-M_alt 'C m c 21'
_space_group_IT_number 36
loop_
_space_group_symop_operation_xyz
'x,y,z'
'-x,-y,z+1/2'
'-x,y,z'
'x,-y,z+1/2'
'x+1/2,y+1/2,z'
'-x+1/2,-y+1/2,z+1/2'
'-x+1/2,y+1/2,z'
'x+1/2,-y+1/2,z+1/2'
loop_
_atom_site_label
_atom_site_type_symbol
_atom_site_fract_x
_atom_site_fract_y
_atom_site_fract_z
Ru1 Ru 0.000 0.239 0.000
Rh1 Rh 0.000 0.235 0.312
W1 W 0.000 0.242 0.649

[2]
Entry from Alexandria: a relaxed LiPmTeAu crystal (PBE).

```
data_LiPmTeAu
_cell_length_a 7.293
_cell_length_b 7.293
_cell_length_c 7.293
_cell_angle_alpha 90.00
_cell_angle_beta 90.00
_cell_angle_gamma 90.00
_space_group_name_H-M_alt 'F -4 3 m'
_space_group_IT_number 216
_space_group_name_Hall 'F -4 2 3'
loop_
_atom_site_label
_atom_site_type_symbol
_atom_site_fract_x
_atom_site_fract_y
_atom_site_fract_z
Li1 Li 0.000 0.000 0.000
Pm1 Pm 0.000 0.000 0.500
Te1 Te 0.250 0.250 0.750
Au1 Au 0.250 0.250 0.250
```

[3]
Entry from Alexandria: a relaxed RbBa2AlTe crystal (PBE).

```
data_RbBa2AlTe
_cell_length_a 6.638
_cell_length_b 6.638
_cell_length_c 6.649
_cell_angle_alpha 90.00
_cell_angle_beta 90.00
_cell_angle_gamma 90.00
_space_group_name_H-M_alt 'P 4/m m m'
_space_group_IT_number 123
_space_group_name_Hall '-P 4 2'
loop_
_atom_site_label
_atom_site_type_symbol
_atom_site_fract_x
_atom_site_fract_y
_atom_site_fract_z
Rb1 Rb 0.000 0.000 0.000
Ba1 Ba 0.000 0.500 0.500
Al1 Al 0.500 0.500 0.000
Te1 Te 0.000 0.000 0.500
```

[4]
# PBE La5InSn3, relaxed
# * ΔE_f: -679 meV per atom
data_La5InSn3
_cell_length_a 9.8424
_cell_length_b 9.8424
_cell_length_c 6.8353
_cell_angle_alpha 90.00
_cell_angle_beta 90.00
_cell_angle_gamma 120.00
_space_group_name_H-M_alt 'P 63/m c m'
_space_group_IT_number 193
_space_group_name_Hall '-P 6c 2'
loop_
_atom_site_label
_atom_site_type_symbol
_atom_site_fract_x
_atom_site_fract_y
_atom_site_fract_z
La1 La 0.0000 0.2853 0.2500
La2 La 0.3333 0.6667 0.0000
In1 In 0.0000 0.0000 0.0000
Sn1 Sn 0.0000 0.3707 0.7500

Values for electronic total energy, eV per formula unit, ordered as above
-29.097; -16.242; -12.866; -45.496
Values for V, A^3/atom, ordered as above
15.2; 24.2; 58.6; 31.9